# 1
# Dy2HoInC PBE optimized geometry
data_Dy2HoInC
_space_group_name_H-M_alt 'P 1'
_space_group_IT_number 1
_cell_length_a 4.8956
_cell_length_b 4.9240
_cell_length_c 4.9240
_cell_angle_alpha 90.00
_cell_angle_beta 90.00
_cell_angle_gamma 90.00
loop_
_space_group_symop_operation_xyz
'x,y,z'
loop_
_atom_site_label
_atom_site_fract_x
_atom_site_fract_y
_atom_site_fract_z
_atom_site_occupancy
Dy1 0.0000 0.0000 0.5000 1
Dy2 0.0000 0.5000 0.0000 1
Ho1 0.5000 0.0000 0.0000 1
In1 0.5000 0.5000 0.5000 1
C1 0.0000 0.0000 0.0000 1
# * formation energy from the elements: -0.51 eV per atom
# * mass density: 8.628 Mg/m³

***

# 2
# SbMo3Rh PBE optimized geometry
data_SbMo3Rh
_space_group_name_H-M_alt 'P 1'
_space_group_IT_number 1
_cell_length_a 4.7527
_cell_length_b 4.7527
_cell_length_c 4.7527
_cell_angle_alpha 90.00
_cell_angle_beta 90.00
_cell_angle_gamma 90.00
loop_
_space_group_symop_operation_xyz
'x,y,z'
loop_
_atom_site_label
_atom_site_fract_x
_atom_site_fract_y
_atom_site_fract_z
_atom_site_occupancy
Sb1 0.5000 0.5000 0.5000 1
Mo1 0.0000 0.5000 0.0000 1
Mo2 0.0000 0.0000 0.5000 1
Mo3 0.5000 0.0000 0.0000 1
Rh1 0.0000 0.0000 0.0000 1
# * E above lowest polymorph: 0.0 meV per atom
# * E_form (uncorrected): 1469.3 meV per atom
# * mass density: 7.927 Mg/m³